Entry 1:
Entry from Alexandria: an optimized crystal structure of TcSbTe2 (GGA-PBE).

Unit cell a=3.4859 b=5.3382 c=5.0614 alpha=90.00 beta=90.00 gamma=90.00
Site moments in Bohr magnetons follow the coordinates.
Fractional positions:
Tc 0.0000 0.5000 0.5000  1.90
Te 0.0000 0.0000 0.0000  0.05
Te 0.5000 0.5000 0.0000  -0.05
Sb 0.5000 0.0000 0.5000  -0.03

Values from the calculation:
Energy ... -17.9 eV/cell
Raw formation energy ... 728 meV per atom
Symmetry ... Pmmm (47)

=====

Entry 2:
Entry from Alexandria: an optimized crystal structure of Ac2Ga4Ge3Au (GGA-PBE).

Unit cell a=4.7998 b=4.7998 c=9.8109 alpha=90.00 beta=90.00 gamma=90.00
Fractional positions:
Ga 0.0000 0.0000 0.0000
Ga 0.0000 0.5000 0.3770
Ga 0.5000 0.0000 0.6230
Ga 0.5000 0.5000 0.0000
Ac 0.0000 0.5000 0.7435
Ac 0.5000 0.0000 0.2565
Au 0.5000 0.5000 0.5000
Ge 0.0000 0.5000 0.1163
Ge 0.0000 0.0000 0.5000
Ge 0.5000 0.0000 0.8837

Values from the calculation:
Energy ... -42.1 eV/cell
Energy relative to the elements ... -460 meV per atom
Symmetry ... P-4m2 (115)

=====

Entry 3:
Entry from Alexandria: an optimized crystal structure of Pm5PuPt4 (GGA-PBE).

Unit cell a=4.2521 b=7.9537 c=9.2450 alpha=106.11 beta=103.29 gamma=90.00
Site moments in Bohr magnetons follow the coordinates.
Fractional positions:
Pm 0.5000 0.5000 0.0000  0.04
Pm 0.1660 0.8724 0.3321  0.01
Pm 0.1667 0.3620 0.3334  0.02
Pm 0.8333 0.6380 0.6666  0.02
Pm 0.8340 0.1276 0.6679  0.01
Pt 0.0019 0.2509 0.0038  -0.04
Pt 0.6728 0.1268 0.3457  -0.01
Pt 0.9981 0.7491 0.9962  -0.04
Pt 0.3272 0.8732 0.6543  -0.01
Pu 0.5000 0.0000 0.0000  5.14

Values from the calculation:
Energy ... -70.2 eV/cell
Energy relative to the elements ... -798 meV per atom
Symmetry ... C2/m (12)

=====

Entry 4:
Entry from Alexandria: an optimized crystal structure of Tm8Os2Au (GGA-PBE).

Unit cell a=5.5441 b=7.5872 c=7.5872 alpha=111.32 beta=98.82 gamma=98.82
Fractional positions:
Tm 0.5826 0.3382 0.0721
Tm 0.3999 0.6720 0.9365
Tm 0.5826 0.0721 0.3382
Tm 0.1855 0.3740 0.3740
Tm 0.3999 0.9365 0.6720
Tm 0.7965 0.6262 0.6262
Tm 0.9930 0.7699 0.2384
Tm 0.9930 0.2384 0.7699
Os 0.4907 0.3176 0.6903
Os 0.4907 0.6903 0.3176
Au 0.0852 0.9986 0.9986

Values from the calculation:
Energy ... -64.9 eV/cell
Energy relative to the elements ... -307 meV per atom
Symmetry ... Cm (8)

=====

Entry 5:
Entry from Alexandria: an optimized crystal structure of BaLi2In2Sn2 (GGA-PBE).

Unit cell a=4.8458 b=4.8458 c=9.7826 alpha=75.66 beta=75.66 gamma=60.00
Fractional positions:
Li 0.8528 0.8528 0.4417
Li 0.1472 0.1472 0.5583
Sn 0.2555 0.2555 0.2335
Sn 0.7445 0.7445 0.7665
In 0.5527 0.5527 0.3420
In 0.4473 0.4473 0.6580
Ba 0.0000 0.0000 0.0000

Values from the calculation:
Energy ... -22.2 eV/cell
Energy relative to the elements ... -427 meV per atom
Symmetry ... R-3m (166)

=====

Entry 6:
Entry from Alexandria: an optimized crystal structure of NaSn2Hg2 (GGA-PBE).

Unit cell a=3.8464 b=3.8464 c=9.2625 alpha=101.99 beta=101.99 gamma=90.00
Fractional positions:
Hg 0.5974 0.5974 0.1947
Hg 0.4026 0.4026 0.8053
Na 0.0000 0.0000 0.0000
Sn 0.7988 0.7988 0.5975
Sn 0.2012 0.2012 0.4025

Values from the calculation:
Relative energy among the computed polymorphs ... 0 kJ/mol of formula units
Energy ... -10.4 eV/cell
Energy relative to the elements ... -103 meV per atom
Symmetry ... I4/mmm (139)

=====

Entry 7:
Entry from Alexandria: an optimized crystal structure of Ti8AlGa6 (GGA-PBE).

Unit cell a=7.6437 b=7.6437 c=6.7682 alpha=55.62 beta=55.62 gamma=60.00
Fractional positions:
Ti 0.6284 0.1374 0.3434
Ti 0.1091 0.3716 0.6566
Ti 0.7448 0.7448 0.7657
Ti 0.1374 0.8909 0.3434
Ti 0.2552 0.2552 0.2343
Ti 0.3716 0.8626 0.6566
Ti 0.8626 0.1091 0.6566
Ti 0.8909 0.6284 0.3434
Ga 0.3604 0.5784 0.1737
Ga 0.8875 0.3604 0.1737
Ga 0.1125 0.6396 0.8263
Ga 0.4216 0.1125 0.8263
Ga 0.5784 0.8875 0.1737
Ga 0.6396 0.4216 0.8263
Al 0.0000 0.0000 0.0000

Values from the calculation:
Energy ... -88.7 eV/cell
Energy relative to the elements ... -243 meV per atom
Symmetry ... R-3 (148)

=====

Entry 8:
Entry from Alexandria: an optimized crystal structure of ZrHgAu2 (GGA-PBE).

Unit cell a=7.8006 b=7.8006 c=6.2375 alpha=51.30 beta=51.30 gamma=90.00
Fractional positions:
Zr 0.2500 0.7500 0.5000
Zr 0.5000 0.5000 0.0000
Au 0.1344 0.6250 0.2500
Au 0.6156 0.1250 0.2500
Au 0.3750 0.3844 0.7500
Au 0.8750 0.8656 0.7500
Hg 0.0000 0.0000 0.0000
Hg 0.7500 0.2500 0.5000

Values from the calculation:
Energy ... -30.7 eV/cell
Energy relative to the elements ... 13 meV per atom
Symmetry ... I-42d (122)

=====

Entry 9:
Entry from Alexandria: an optimized crystal structure of Pa2Ga4Cu3Au (GGA-PBE).

Unit cell a=4.1907 b=4.1907 c=10.0995 alpha=90.00 beta=90.00 gamma=90.00
Fractional positions:
Pa 0.5000 0.0000 0.2450
Pa 0.0000 0.5000 0.7550
Cu 0.5000 0.0000 0.8735
Cu 0.0000 0.5000 0.1265
Cu 0.0000 0.0000 0.5000
Ga 0.5000 0.5000 0.0000
Ga 0.0000 0.5000 0.3567
Ga 0.0000 0.0000 0.0000
Ga 0.5000 0.0000 0.6433
Au 0.5000 0.5000 0.5000

Values from the calculation:
Energy ... -49.6 eV/cell
Energy relative to the elements ... -293 meV per atom
Symmetry ... P-4m2 (115)

=====

Entry 10:
Entry from Alexandria: an optimized crystal structure of Ca4AlAg3 (GGA-PBE).

Unit cell a=4.0451 b=4.6456 c=11.6116 alpha=90.00 beta=90.00 gamma=90.00
Fractional positions:
Ag 0.5000 0.0000 0.9354
Ag 0.0000 0.5000 0.5741
Ag 0.0000 0.0000 0.4257
Ca 0.0000 0.5000 0.8518
Ca 0.5000 0.5000 0.3555
Ca 0.0000 0.0000 0.1471
Ca 0.5000 0.0000 0.6429
Al 0.5000 0.5000 0.0676

Values from the calculation:
Energy ... -22.6 eV/cell
Energy relative to the elements ... -289 meV per atom
Symmetry ... Pmm2 (25)

=====

Entry 11:
Entry from Alexandria: an optimized crystal structure of Be2HgPt (GGA-PBE).

Unit cell a=4.1117 b=4.1117 c=4.5469 alpha=89.69 beta=89.69 gamma=56.17
Fractional positions:
Pt 0.2500 0.2500 0.2500
Be 0.5731 0.5731 0.2512
Be 0.9269 0.9269 0.2488
Hg 0.7500 0.7500 0.7500

Values from the calculation:
Relative energy among the computed polymorphs ... 16 kJ/mol of formula units
Energy ... -14.3 eV/cell
Energy relative to the elements ... -121 meV per atom
Symmetry ... C2/m (12)

=====

Entry 12:
Entry from Alexandria: an optimized crystal structure of TlOsPt (GGA-PBE).

Unit cell a=2.9830 b=2.9830 c=6.8641 alpha=90.00 beta=90.00 gamma=120.00
Fractional positions:
Tl 0.3333 0.6667 0.6683
Pt 0.6667 0.3333 0.3151
Os 0.0000 0.0000 0.0166

Values from the calculation:
Relative energy among the computed polymorphs ... 4 kJ/mol of formula units
Energy ... -17.7 eV/cell
Energy relative to the elements ... 659 meV per atom
Symmetry ... P3m1 (156)